Below is SrTl2B2O6 after structural relaxation, with properties calculated at the PBE level.

Output
Its total magnetic moment is 0.00 μB/cell. Its energy relative to the elements, uncorrected is -1854 meV per atom. The raw total energy comes out at -69.9 eV for the cell shown. The value obtained for the density is 5.47 g cm⁻³.

Geometry as CIF:
```
data_SrTl2B2O6
_symmetry_space_group_name_H-M 'P -3'
_symmetry_Int_Tables_number 147
_symmetry_space_group_name_Hall '-P 3'
_cell_length_a 5.2689
_cell_length_b 5.2689
_cell_length_c 7.7543
_cell_angle_alpha 90.00
_cell_angle_beta 90.00
_cell_angle_gamma 120.00
loop_
_atom_site_label
_atom_site_type_symbol
_atom_site_fract_x
_atom_site_fract_y
_atom_site_fract_z
Sr1 Sr 0.0000 0.0000 0.0000
Tl1 Tl 0.3333 0.6667 0.3497
B1 B 0.3333 0.6667 0.7879
O1 O 0.0758 0.6768 0.7908
```

Below is Th8Te4PdRu3 after structural relaxation, with properties calculated at the PBE level.

Output
Its total magnetic moment is 0.00 μB/cell. Its energy relative to the elements, uncorrected is -903 meV per atom. The raw total energy comes out at -358.2 eV for the cell shown. The value obtained for the density is 9.85 g cm⁻³.

Geometry as CIF:
```
data_Th8Te4PdRu3
_symmetry_space_group_name_H-M 'R -3 m'
_symmetry_Int_Tables_number 166
_symmetry_space_group_name_Hall '-R 3 2"'
_cell_length_a 8.3720
_cell_length_b 8.3720
_cell_length_c 23.1317
_cell_angle_alpha 90.00
_cell_angle_beta 90.00
_cell_angle_gamma 120.00
loop_
_atom_site_label
_atom_site_type_symbol
_atom_site_fract_x
_atom_site_fract_y
_atom_site_fract_z
Th1 Th 0.0000 0.0000 0.2337
Th2 Th 0.0100 0.5050 0.7660
Te1 Te 0.0000 0.0000 0.0000
Te2 Te 0.0000 0.5000 0.0000
Pd1 Pd 0.0000 0.0000 0.5000
Ru1 Ru 0.0000 0.5000 0.5000
```

Question: The highest raw total energy belongs to which entry?
Answer: SrTl2B2O6

Copy entry 1 word for word.
Below is SrTl2B2O6 after structural relaxation, with properties calculated at the PBE level.

Output
Its total magnetic moment is 0.00 μB/cell. Its energy relative to the elements, uncorrected is -1854 meV per atom. The raw total energy comes out at -69.9 eV for the cell shown. The value obtained for the density is 5.47 g cm⁻³.

Geometry as CIF:
```
data_SrTl2B2O6
_symmetry_space_group_name_H-M 'P -3'
_symmetry_Int_Tables_number 147
_symmetry_space_group_name_Hall '-P 3'
_cell_length_a 5.2689
_cell_length_b 5.2689
_cell_length_c 7.7543
_cell_angle_alpha 90.00
_cell_angle_beta 90.00
_cell_angle_gamma 120.00
loop_
_atom_site_label
_atom_site_type_symbol
_atom_site_fract_x
_atom_site_fract_y
_atom_site_fract_z
Sr1 Sr 0.0000 0.0000 0.0000
Tl1 Tl 0.3333 0.6667 0.3497
B1 B 0.3333 0.6667 0.7879
O1 O 0.0758 0.6768 0.7908
```